# TlCrP2O

A relaxed TlCrP2O crystal (GGA+U, the Alexandria database).

Computed properties:
Energy above the most stable polymorph in this dataset in eV per atom: 0.000

Cell lengths 5.0426, 5.0426, 3.5769 Å; angles 90.00, 90.00, 90.00 degrees
Closest atoms and distances in Å follow each position.
Fractional positions:
Tl1 0.0000 0.0000 0.0000  8 P 3.09
Cr1 0.5000 0.5000 0.5000  2 O 1.79
P1 0.0000 0.5000 0.5000  2 Cr 2.52
P2 0.5000 0.0000 0.5000  2 Cr 2.52
O1 0.5000 0.5000 0.0000  2 Cr 1.79